1.
VASP calculation (PBE) on a geometry-optimized LiZnPd2 structure.

a = 2.859 Å, b = 2.859 Å, c = 8.448 Å
α = 99.97°, β = 99.97°, γ = 59.97°
Atoms (fractional coordinates):
Li 0.000 0.000 0.000
Zn 0.834 0.834 0.500
Pd 0.250 0.250 0.748
Pd 0.418 0.418 0.252

Properties
E_tot   -3.794 eV per atom
Density of states at the Fermi level   1.01 states/eV per cell

2.
VASP calculation (PBE) on a geometry-optimized VCdSn structure.

a = 4.664 Å, b = 4.664 Å, c = 3.296 Å
α = 90.00°, β = 90.00°, γ = 120.00°
Atoms (fractional coordinates):
V 0.000 0.000 0.000
Cd 0.667 0.333 0.401
Sn 0.333 0.667 0.731

Properties
E_tot   -4.286 eV per atom
Density of states at the Fermi level   2.97 states/eV per cell

3.
VASP calculation (PBE) on a geometry-optimized Cr3C5 structure.

a = 2.592 Å, b = 2.592 Å, c = 8.888 Å
α = 90.00°, β = 90.00°, γ = 90.00°
Atoms (fractional coordinates):
Cr 0.000 0.000 0.000
Cr 0.500 0.500 0.353
Cr 0.500 0.500 0.647
C 0.000 0.000 0.242
C 0.000 0.000 0.500
C 0.000 0.000 0.758
C 0.500 0.500 0.120
C 0.500 0.500 0.880

Properties
E_tot   -8.238 eV per atom
Density of states at the Fermi level   4.74 states/eV per cell

Number 1 is which compound?
LiZnPd2